Crystalline CrOF3 at its relaxed geometry. Source: the Alexandria database, functional PBE+U.

a = 3.893 Å, b = 3.893 Å, c = 3.893 Å
α = 90.00°, β = 90.00°, γ = 90.00°
Last column: magnetic moment on the atom in μB.
Fractional positions:
F 0.000 0.500 0.000  0.00
F 0.000 0.000 0.500  0.02
F 0.500 0.000 0.000  -0.02
O 0.500 0.500 0.500  -0.01
Cr 0.000 0.000 0.000  -2.87

Values from the calculation:
As for the calculated volume: 11.80 Å³ per atom. The calculation puts the magnetization at 0.591 μB per atom. For the total DFT energy (no corrections), the calculation gives -4.84 eV per atom.